# PBE-GGA ZrInPb2S5, relaxed
# E_form (uncorrected) = -6.918 eV/f.u.
data_ZrInPb2S5
_space_group_name_H-M_alt 'P 1'
_space_group_IT_number 1
_space_group_name_Hall 'P 1'
_cell_length_a 8.8272
_cell_length_b 8.8272
_cell_length_c 13.6142
_cell_angle_alpha 90.00
_cell_angle_beta 90.00
_cell_angle_gamma 154.94
loop_
_atom_site_label
_atom_site_type_symbol
_atom_site_fract_x
_atom_site_fract_y
_atom_site_fract_z
_atom_site_occupancy
Zr1 Zr 0.2214 0.7786 0.5000 1
Zr2 Zr 0.7786 0.2214 0.0000 1
In1 In 0.4446 0.5554 0.8904 1
In2 In 0.5554 0.4446 0.3904 1
Pb1 Pb 0.1024 0.8976 0.1099 1
Pb2 Pb 0.1365 0.8635 0.7714 1
Pb3 Pb 0.8635 0.1365 0.2714 1
Pb4 Pb 0.8976 0.1024 0.6099 1
S1 S 0.0607 0.9393 0.5092 1
S2 S 0.2699 0.7301 0.1291 1
S3 S 0.2977 0.7023 0.8676 1
S4 S 0.3647 0.6353 0.4524 1
S5 S 0.4923 0.5077 0.2303 1
S6 S 0.5077 0.4923 0.7303 1
S7 S 0.6353 0.3647 0.9524 1
S8 S 0.7023 0.2977 0.3676 1
S9 S 0.7301 0.2699 0.6291 1
S10 S 0.9393 0.0607 0.0092 1

***

# PBE-GGA In2SbPb, relaxed
# E_form (uncorrected) = 0.198 eV/f.u.
data_In2SbPb
_space_group_name_H-M_alt 'P 1'
_space_group_IT_number 1
_space_group_name_Hall 'P 1'
_cell_length_a 3.3743
_cell_length_b 5.1641
_cell_length_c 6.7507
_cell_angle_alpha 90.00
_cell_angle_beta 104.05
_cell_angle_gamma 90.00
loop_
_atom_site_label
_atom_site_type_symbol
_atom_site_fract_x
_atom_site_fract_y
_atom_site_fract_z
_atom_site_occupancy
In1 In 0.0632 0.0000 0.2582 1
In2 In 0.9368 0.0000 0.7418 1
Sb1 Sb 0.5000 0.5000 0.5000 1
Pb1 Pb 0.5000 0.5000 0.0000 1

***

# PBE-GGA InSbPb2, relaxed
# E_form (uncorrected) = 0.146 eV/f.u.
data_InSbPb2
_space_group_name_H-M_alt 'P 1'
_space_group_IT_number 1
_space_group_name_Hall 'P 1'
_cell_length_a 3.3794
_cell_length_b 5.3866
_cell_length_c 6.8153
_cell_angle_alpha 90.00
_cell_angle_beta 103.26
_cell_angle_gamma 90.00
loop_
_atom_site_label
_atom_site_type_symbol
_atom_site_fract_x
_atom_site_fract_y
_atom_site_fract_z
_atom_site_occupancy
In1 In 0.0000 0.0000 0.0000 1
Sb1 Sb 0.4210 0.5000 0.8194 1
Pb1 Pb 0.2555 0.0000 0.5166 1
Pb2 Pb 0.6476 0.5000 0.2941 1

***

# PBE-GGA In2Sb2Pb, relaxed
# E_form (uncorrected) = 0.508 eV/f.u.
data_In2Sb2Pb
_space_group_name_H-M_alt 'P 1'
_space_group_IT_number 1
_space_group_name_Hall 'P 1'
_cell_length_a 8.5101
_cell_length_b 8.5101
_cell_length_c 3.9501
_cell_angle_alpha 90.00
_cell_angle_beta 90.00
_cell_angle_gamma 90.00
loop_
_atom_site_label
_atom_site_type_symbol
_atom_site_fract_x
_atom_site_fract_y
_atom_site_fract_z
_atom_site_occupancy
In1 In 0.1334 0.3666 0.0000 1
In2 In 0.3666 0.8666 0.0000 1
In3 In 0.6334 0.1334 0.0000 1
In4 In 0.8666 0.6334 0.0000 1
Sb1 Sb 0.1647 0.6647 0.5000 1
Sb2 Sb 0.3353 0.1647 0.5000 1
Sb3 Sb 0.6647 0.8353 0.5000 1
Sb4 Sb 0.8353 0.3353 0.5000 1
Pb1 Pb 0.0000 0.0000 0.0000 1
Pb2 Pb 0.5000 0.5000 0.0000 1

***

# PBE-GGA In12SbPb6, relaxed
# E_form (uncorrected) = 1.469 eV/f.u.
data_In12SbPb6
_space_group_name_H-M_alt 'P 1'
_space_group_IT_number 1
_space_group_name_Hall 'P 1'
_cell_length_a 8.2765
_cell_length_b 8.2765
_cell_length_c 8.2765
_cell_angle_alpha 91.52
_cell_angle_beta 91.52
_cell_angle_gamma 91.52
loop_
_atom_site_label
_atom_site_type_symbol
_atom_site_fract_x
_atom_site_fract_y
_atom_site_fract_z
_atom_site_occupancy
In1 In 0.0347 0.2902 0.9581 1
In2 In 0.0419 0.9653 0.7098 1
In3 In 0.1269 0.3533 0.4444 1
In4 In 0.2902 0.9581 0.0347 1
In5 In 0.3533 0.4444 0.1269 1
In6 In 0.4444 0.1269 0.3533 1
In7 In 0.5556 0.8731 0.6467 1
In8 In 0.6467 0.5556 0.8731 1
In9 In 0.7098 0.0419 0.9653 1
In10 In 0.8731 0.6467 0.5556 1
In11 In 0.9581 0.0347 0.2902 1
In12 In 0.9653 0.7098 0.0419 1
Sb1 Sb 0.5000 0.5000 0.5000 1
Pb1 Pb 0.2134 0.7526 0.3788 1
Pb2 Pb 0.2474 0.6212 0.7866 1
Pb3 Pb 0.3788 0.2134 0.7526 1
Pb4 Pb 0.6212 0.7866 0.2474 1
Pb5 Pb 0.7526 0.3788 0.2134 1
Pb6 Pb 0.7866 0.2474 0.6212 1

***

# PBE-GGA InSbPb4, relaxed
# E_form (uncorrected) = 1.328 eV/f.u.
data_InSbPb4
_space_group_name_H-M_alt 'P 1'
_space_group_IT_number 1
_space_group_name_Hall 'P 1'
_cell_length_a 6.5139
_cell_length_b 6.5139
_cell_length_c 6.5139
_cell_angle_alpha 60.00
_cell_angle_beta 60.00
_cell_angle_gamma 60.00
loop_
_atom_site_label
_atom_site_type_symbol
_atom_site_fract_x
_atom_site_fract_y
_atom_site_fract_z
_atom_site_occupancy
In1 In 0.0000 0.0000 0.0000 1
Sb1 Sb 0.2500 0.2500 0.2500 1
Pb1 Pb 0.1244 0.6252 0.6252 1
Pb2 Pb 0.6252 0.1244 0.6252 1
Pb3 Pb 0.6252 0.6252 0.1244 1
Pb4 Pb 0.6252 0.6252 0.6252 1

***

In the order shown, the computed M_tot values come out to 0.000 0.000 0.000 0.000 0.000 0.000 μB/atom.
In the order shown, the computed DFT total energy values come out to -0.1889 -0.1204 -0.1298 -0.1244 -0.1117 -0.1247 Ha/atom.